Entry 1:
Material: Ac2La6Sm3
Method: DFT, PBE
State: optimized geometry

The structure in extended XYZ format:
```
11
Lattice="3.761 0.000 0.231 1.873 3.261 0.231 -0.178 -0.103 33.665" Properties=species:S:1:pos:R:3 pbc="T T T"
Ac 3.017 1.746 12.364
Ac 2.440 1.412 21.762
La 5.089 2.946 9.346
La 0.367 0.213 24.781
La 4.514 2.613 18.718
La 0.942 0.545 15.408
La 3.575 2.069 3.267
La 1.882 1.089 30.860
Sm 0.000 0.000 0.000
Sm 3.942 2.281 28.051
Sm 1.515 0.877 6.075
```

Properties
Final energy: -4.6960 eV/atom
Space group: No. 166


Entry 2:
Material: AcCd2Ag9
Method: DFT, PBE
State: optimized geometry

The structure in extended XYZ format:
```
12
Lattice="-3.010 0.996 0.244 0.561 -0.628 9.467 2.330 8.112 -4.371" Properties=species:S:1:pos:R:3 pbc="T T T"
Ac 0.000 0.000 0.000
Cd 1.150 2.285 4.855
Cd 1.740 5.199 0.242
Ag -0.624 1.454 7.081
Ag 1.165 4.056 -2.185
Ag 1.445 3.742 2.548
Ag 0.439 5.155 5.087
Ag 0.504 7.026 -1.740
Ag 0.760 6.739 2.579
Ag -0.559 3.325 0.254
Ag 0.280 -0.314 4.734
Ag -0.880 1.741 2.762
```

Properties
Final energy: -2.6076 eV/atom
Space group: No. 191


Entry 3:
Material: GaRe2Pb
Method: DFT, PBE
State: optimized geometry

The structure in extended XYZ format:
```
4
Lattice="1.775 -4.143 0.782 -2.711 -3.684 0.014 0.270 -3.051 -3.398" Properties=species:S:1:pos:R:3 pbc="T T T"
Pb -0.333 -5.439 -1.301
Re -0.167 -2.720 -0.651
Re -0.500 -8.159 -1.952
Ga 0.000 0.000 0.000
```

Properties
Final energy: -6.9926 eV/atom
Space group: No. 225


Entry 4:
Material: PuTh3P4
Method: DFT, PBE
State: optimized geometry

The structure in extended XYZ format:
```
8
Lattice="-2.032 -1.678 3.168 4.091 -5.820 -0.460 3.026 4.696 4.428" Properties=species:S:1:pos:R:3 pbc="T T T"
Pu -1.016 -0.839 1.584
Th 1.513 2.348 2.214
Th 2.543 -1.401 3.568
Th 2.046 -2.910 -0.230
P 1.740 -0.275 0.970
P 2.811 -4.053 2.336
P 5.377 -0.849 2.998
P 2.274 1.251 4.801
```

Properties
Final energy: -8.7443 eV/atom
Space group: No. 65


Entry 5:
Material: Mg3TaPd
Method: DFT, PBE
State: optimized geometry

The structure in extended XYZ format:
```
5
Lattice="-3.562 2.483 3.042 -3.102 -4.298 -0.125 2.408 -1.864 4.340" Properties=species:S:1:pos:R:3 pbc="T T T"
Mg -1.551 -2.149 -0.062
Mg 1.204 -0.932 2.170
Mg -1.781 1.241 1.521
Pd -2.128 -1.839 3.629
Ta 0.000 0.000 0.000
```

Properties
Final energy: -2.8602 eV/atom
Space group: No. 221


Entry 6:
Material: CsInTc2O8
Method: DFT, PBE
State: optimized geometry

The structure in extended XYZ format:
```
12
Lattice="5.589 0.000 0.000 -2.795 4.840 0.000 0.000 0.000 8.945" Properties=species:S:1:pos:R:3 pbc="T T T"
Cs 0.000 0.000 0.000
In 0.000 0.000 4.473
Tc 2.795 1.613 2.541
Tc 0.000 3.227 6.404
O 0.000 3.227 8.151
O 1.117 1.391 3.135
O 3.826 0.272 3.135
O 2.795 1.613 0.794
O -1.031 4.568 5.810
O 1.677 3.449 5.810
O -0.646 1.663 5.810
O 3.441 3.177 3.135
```

Properties
Uncorrected formation energy: -1463.5 meV/atom
Space group: No. 147


Entry 7:
Material: Y3HoCo8
Method: DFT, PBE
State: optimized geometry

The structure in extended XYZ format:
```
12
Lattice="-4.521 -2.306 0.122 -0.503 -4.478 2.338 -3.475 1.642 7.907" Properties=species:S:1:pos:R:3 pbc="T T T"
Y -4.924 -1.107 7.842
Y -5.024 -6.782 2.462
Y -4.248 -2.573 5.180
Ho -5.699 -5.320 5.118
Co -5.110 -3.810 2.626
Co -4.841 -4.081 7.675
Co -2.852 -2.657 2.566
Co -7.095 -5.231 7.735
Co -2.462 -0.555 3.918
Co -6.711 -3.125 9.104
Co -3.103 -4.895 3.734
Co -6.844 -2.999 6.570
```

Properties
Final energy: -6.9252 eV/atom
Space group: No. 160


Entry 8:
Material: Tb3Pr3Sc
Method: DFT, PBE
State: optimized geometry

The structure in extended XYZ format:
```
14
Lattice="2.627 -3.556 7.651 5.338 -7.040 0.209 8.375 0.656 2.743" Properties=species:S:1:pos:R:3 pbc="T T T"
Tb 5.446 -6.541 5.873
Tb 8.796 -4.986 2.168
Tb 7.927 -1.959 6.345
Tb 8.413 -7.980 4.258
Tb 7.543 -4.954 8.435
Tb 10.893 -3.399 4.731
Pr 10.688 -3.279 7.962
Pr 11.361 -6.790 3.634
Pr 7.847 -8.117 7.805
Pr 8.493 -1.822 2.798
Pr 4.978 -3.150 6.969
Pr 5.651 -6.661 2.642
Sc 5.606 -3.411 3.638
Sc 10.733 -6.529 6.965
```

Properties
Final energy: -4.6659 eV/atom
Space group: No. 148


Entry 9:
Material: Si2GeP4
Method: DFT, PBE
State: optimized geometry

The structure in extended XYZ format:
```
7
Lattice="5.110 0.000 0.000 0.000 5.110 0.000 0.000 0.000 5.219" Properties=species:S:1:pos:R:3 pbc="T T T"
Si 2.555 0.000 2.610
Si 0.000 2.555 2.610
Ge 0.000 0.000 0.000
P 3.670 1.440 4.003
P 1.440 1.440 1.216
P 1.440 3.670 4.003
P 3.670 3.670 1.216
```

Properties
Uncorrected formation energy: -47.9 meV/atom
Space group: No. 111


Entry 10:
Material: TlAs2IrBr
Method: DFT, PBE
State: optimized geometry

The structure in extended XYZ format:
```
5
Lattice="4.781 0.000 0.000 0.000 4.781 0.000 0.000 0.000 5.895" Properties=species:S:1:pos:R:3 pbc="T T T"
Tl 2.390 2.390 2.948
Ir 0.000 0.000 0.000
As 0.000 2.390 0.000
As 2.390 0.000 0.000
Br 0.000 0.000 2.948
```

Properties
Uncorrected formation energy: 206.8 meV/atom
Space group: No. 123


Entry 11:
Material: PrEuBiBr
Method: DFT, PBE
State: optimized geometry

The structure in extended XYZ format:
```
4
Lattice="5.576 0.000 0.000 2.788 4.829 0.000 2.788 1.610 4.553" Properties=species:S:1:pos:R:3 pbc="T T T"
Eu 0.000 0.000 0.000
Pr 5.576 3.219 2.276
Bi 2.788 1.610 1.138
Br 8.364 4.829 3.414
```

Properties
Uncorrected formation energy: -1061.2 meV/atom
Space group: No. 216


Entry 12:
Material: Dy3Zr
Method: DFT, PBE
State: optimized geometry

The structure in extended XYZ format:
```
4
Lattice="5.945 -0.004 0.000 1.960 5.613 0.000 -3.953 -2.805 3.444" Properties=species:S:1:pos:R:3 pbc="T T T"
Zr 0.000 0.000 0.000
Dy 2.973 -0.002 1.722
Dy 0.980 2.807 1.722
Dy 3.953 2.805 0.000
```

Properties
Final energy: -5.4993 eV/atom
Space group: No. 139